A crystal of Hg2AsSe relaxed with PBEsol. Source: the Alexandria database, functional meta-GGA SCAN.

abc: 3.4746 4.2198 7.1217
angles: 101.01 90.00 114.31
Fractional positions:
As 0.7975 0.5951 0.2494
Hg 0.0170 0.0341 0.0120
Hg 0.2367 0.4734 0.7528
Se 0.4487 0.8974 0.4857

Values from the calculation:
Calculated volume in Å³ per cell: 93.0
Space-group type: Cm, No. 8
Formation energy without anion corrections in kcal/mol of atoms: 1.5
Total moment in μB per formula unit: 0.000

A crystal of NaAsPd3 relaxed with PBEsol. Source: the Alexandria database, functional meta-GGA SCAN.

abc: 4.5176 4.5176 4.5176
angles: 90.00 90.00 90.00
Fractional positions:
Na 0.0000 0.0000 0.0000
As 0.5000 0.5000 0.5000
Pd 0.0000 0.5000 0.0000
Pd 0.0000 0.0000 0.5000
Pd 0.5000 0.0000 0.0000

Values from the calculation:
Calculated volume in Å³ per cell: 92.2
Space-group type: Pm-3m, No. 221
Total moment in μB per formula unit: 0.000
ΔH_f (0 K) in eV per atom: 1.0351

Number 1: raw total energy -44.09 eV per atom. Number 2: raw total energy -23.51 eV per atom.